A plane-wave DFT calculation with PBE was carried out for Pr6Ge2PCl3 after structural relaxation.

Output
V: 330.55 Å³ per cell

a = 4.257 Å, b = 8.564 Å, c = 9.573 Å
α = 103.38°, β = 102.85°, γ = 90.00°
Sites, in units of the cell vectors:
Pr: 0.343 0.910 0.686
Pr: 0.671 0.570 0.343
Pr: 0.657 0.090 0.314
Pr: 0.004 0.227 0.007
Pr: 0.996 0.773 0.993
Pr: 0.329 0.430 0.657
Ge: 0.834 0.669 0.668
Ge: 0.166 0.331 0.332
P: 0.500 0.000 0.000
Cl: 0.500 0.500 0.000
Cl: 0.830 0.165 0.661
Cl: 0.170 0.835 0.339

A plane-wave DFT calculation with PBE was carried out for Pr6GeP2Cl3 after structural relaxation.

Output
V: 324.05 Å³ per cell

a = 4.205 Å, b = 8.556 Å, c = 9.533 Å
α = 104.03°, β = 102.74°, γ = 90.00°
Sites, in units of the cell vectors:
Pr: 0.338 0.895 0.676
Pr: 0.674 0.564 0.349
Pr: 0.662 0.105 0.324
Pr: 0.009 0.240 0.018
Pr: 0.991 0.760 0.982
Pr: 0.326 0.436 0.651
Ge: 0.500 0.000 0.000
P: 0.832 0.665 0.665
P: 0.168 0.335 0.335
Cl: 0.500 0.500 0.000
Cl: 0.835 0.168 0.670
Cl: 0.165 0.832 0.330

A plane-wave DFT calculation with PBE was carried out for Pr6Ge2P3Cl after structural relaxation.

Output
V: 324.91 Å³ per cell

a = 4.194 Å, b = 8.595 Å, c = 9.507 Å
α = 103.24°, β = 102.74°, γ = 90.00°
Sites, in units of the cell vectors:
Pr: 0.329 0.921 0.659
Pr: 0.665 0.589 0.331
Pr: 0.671 0.079 0.341
Pr: 0.999 0.267 0.998
Pr: 0.001 0.733 0.002
Pr: 0.335 0.411 0.669
Ge: 0.835 0.671 0.671
Ge: 0.165 0.329 0.329
P: 0.500 0.500 0.000
P: 0.836 0.165 0.672
P: 0.164 0.835 0.328
Cl: 0.500 0.000 0.000

A plane-wave DFT calculation with PBE was carried out for Ge2PPtCl after structural relaxation.

Output
V: 122.06 Å³ per cell

a = 5.265 Å, b = 4.404 Å, c = 5.265 Å
α = 90.00°, β = 90.00°, γ = 90.00°
Sites, in units of the cell vectors:
P: 0.000 0.500 0.000
Ge: 0.000 0.000 0.500
Ge: 0.500 0.000 0.000
Pt: 0.000 0.000 0.000
Cl: 0.500 0.500 0.500

A plane-wave DFT calculation with PBE was carried out for RbGePCl2 after structural relaxation.

Output
V: 140.64 Å³ per cell
excess energy over the best structure of this formula in the dataset: 0.000 eV/atom

a = 5.448 Å, b = 5.448 Å, c = 4.738 Å
α = 90.00°, β = 90.00°, γ = 90.00°
Each line ends with the local moment (μB).
Sites, in units of the cell vectors:
P: 0.000 0.000 0.500  0.39
Ge: 0.000 0.000 0.000  -0.04
Rb: 0.500 0.500 0.500  0.00
Cl: 0.000 0.500 0.000  0.06
Cl: 0.500 0.000 0.000  0.06

A plane-wave DFT calculation with PBE was carried out for RbGePCl2 after structural relaxation.

Output
V: 217.14 Å³ per cell
excess energy over the best structure of this formula in the dataset: 1.130 eV/atom

a = 5.923 Å, b = 5.923 Å, c = 6.189 Å
α = 90.00°, β = 90.00°, γ = 90.00°
Each line ends with the local moment (μB).
Sites, in units of the cell vectors:
P: 0.000 0.000 0.500  1.08
Ge: 0.500 0.500 0.500  -0.35
Rb: 0.000 0.000 0.000  0.04
Cl: 0.000 0.500 0.000  0.09
Cl: 0.500 0.000 0.000  0.09

A plane-wave DFT calculation with PBE was carried out for ReGeP2Cl after structural relaxation.

Output
V: 102.63 Å³ per cell
excess energy over the best structure of this formula in the dataset: 0.872 eV/atom

a = 4.732 Å, b = 4.732 Å, c = 4.584 Å
α = 90.00°, β = 90.00°, γ = 90.00°
Each line ends with the local moment (μB).
Sites, in units of the cell vectors:
Re: 0.500 0.500 0.500  3.28
Ge: 0.000 0.000 0.000  -0.04
P: 0.000 0.500 0.000  -0.17
P: 0.500 0.000 0.000  -0.17
Cl: 0.000 0.000 0.500  0.03

A plane-wave DFT calculation with PBE was carried out for ReGePCl2 after structural relaxation.

Output
V: 116.35 Å³ per cell
excess energy over the best structure of this formula in the dataset: 0.557 eV/atom

a = 4.750 Å, b = 4.750 Å, c = 5.156 Å
α = 90.00°, β = 90.00°, γ = 90.00°
Each line ends with the local moment (μB).
Sites, in units of the cell vectors:
Re: 0.500 0.500 0.500  3.98
Ge: 0.000 0.000 0.000  -0.03
P: 0.000 0.000 0.500  -0.17
Cl: 0.000 0.500 0.000  0.04
Cl: 0.500 0.000 0.000  0.04

A plane-wave DFT calculation with PBE was carried out for ReGePCl2 after structural relaxation.

Output
V: 109.55 Å³ per cell
excess energy over the best structure of this formula in the dataset: 0.000 eV/atom

a = 4.850 Å, b = 4.850 Å, c = 4.657 Å
α = 90.00°, β = 90.00°, γ = 90.00°
Each line ends with the local moment (μB).
Sites, in units of the cell vectors:
Re: 0.000 0.000 0.000  0.99
Ge: 0.500 0.500 0.500  0.23
P: 0.000 0.000 0.500  -0.05
Cl: 0.000 0.500 0.000  0.02
Cl: 0.500 0.000 0.000  0.02

A plane-wave DFT calculation with PBE was carried out for ReGeP2Cl after structural relaxation.

Output
V: 107.97 Å³ per cell
excess energy over the best structure of this formula in the dataset: 0.000 eV/atom

a = 4.568 Å, b = 4.568 Å, c = 5.174 Å
α = 90.00°, β = 90.00°, γ = 90.00°
Each line ends with the local moment (μB).
Sites, in units of the cell vectors:
Re: 0.000 0.000 0.000  0.08
Ge: 0.500 0.500 0.500  0.08
P: 0.000 0.500 0.000  -0.01
P: 0.500 0.000 0.000  -0.01
Cl: 0.000 0.000 0.500  0.00

A plane-wave DFT calculation with PBE was carried out for GePRhCl2 after structural relaxation.

Output
V: 113.00 Å³ per cell
excess energy over the best structure of this formula in the dataset: 0.492 eV/atom

a = 4.729 Å, b = 4.729 Å, c = 5.053 Å
α = 90.00°, β = 90.00°, γ = 90.00°
Each line ends with the local moment (μB).
Sites, in units of the cell vectors:
P: 0.000 0.000 0.500  0.07
Ge: 0.000 0.000 0.000  0.01
Rh: 0.500 0.500 0.500  1.38
Cl: 0.000 0.500 0.000  0.03
Cl: 0.500 0.000 0.000  0.03

A plane-wave DFT calculation with PBE was carried out for GeP2RhCl after structural relaxation.

Output
V: 106.10 Å³ per cell
excess energy over the best structure of this formula in the dataset: 0.000 eV/atom

a = 4.524 Å, b = 4.524 Å, c = 5.183 Å
α = 90.00°, β = 90.00°, γ = 90.00°
Sites, in units of the cell vectors:
P: 0.000 0.500 0.000
P: 0.500 0.000 0.000
Ge: 0.500 0.500 0.500
Rh: 0.000 0.000 0.000
Cl: 0.000 0.000 0.500

A plane-wave DFT calculation with PBE was carried out for GePRhCl2 after structural relaxation.

Output
V: 107.04 Å³ per cell
excess energy over the best structure of this formula in the dataset: 0.000 eV/atom

a = 4.794 Å, b = 4.794 Å, c = 4.657 Å
α = 90.00°, β = 90.00°, γ = 90.00°
Sites, in units of the cell vectors:
P: 0.000 0.000 0.500
Ge: 0.500 0.500 0.500
Rh: 0.000 0.000 0.000
Cl: 0.000 0.500 0.000
Cl: 0.500 0.000 0.000

A plane-wave DFT calculation with PBE was carried out for GeP2RuCl after structural relaxation.

Output
V: 103.80 Å³ per cell
excess energy over the best structure of this formula in the dataset: 0.748 eV/atom

a = 4.702 Å, b = 4.702 Å, c = 4.695 Å
α = 90.00°, β = 90.00°, γ = 90.00°
Each line ends with the local moment (μB).
Sites, in units of the cell vectors:
Ru: 0.500 0.500 0.500  2.24
Ge: 0.000 0.000 0.000  -0.02
P: 0.000 0.500 0.000  -0.05
P: 0.500 0.000 0.000  -0.05
Cl: 0.000 0.000 0.500  0.06

A plane-wave DFT calculation with PBE was carried out for GeP2RuCl after structural relaxation.

Output
V: 104.29 Å³ per cell
excess energy over the best structure of this formula in the dataset: 0.000 eV/atom

a = 4.517 Å, b = 4.517 Å, c = 5.111 Å
α = 90.00°, β = 90.00°, γ = 90.00°
Sites, in units of the cell vectors:
Ru: 0.000 0.000 0.000
Ge: 0.500 0.500 0.500
P: 0.000 0.500 0.000
P: 0.500 0.000 0.000
Cl: 0.000 0.000 0.500

A plane-wave DFT calculation with PBE was carried out for GeP2SCl after structural relaxation.

Output
V: 108.00 Å³ per cell
excess energy over the best structure of this formula in the dataset: 0.103 eV/atom

a = 4.833 Å, b = 4.833 Å, c = 4.625 Å
α = 90.00°, β = 90.00°, γ = 90.00°
Each line ends with the local moment (μB).
Sites, in units of the cell vectors:
P: 0.000 0.500 0.000  0.18
P: 0.500 0.000 0.000  0.18
Ge: 0.000 0.000 0.000  0.00
S: 0.500 0.500 0.500  -0.10
Cl: 0.000 0.000 0.500  0.04

A plane-wave DFT calculation with PBE was carried out for GePS2Cl after structural relaxation.

Output
V: 108.33 Å³ per cell
excess energy over the best structure of this formula in the dataset: 0.508 eV/atom

a = 4.591 Å, b = 4.591 Å, c = 5.139 Å
α = 90.00°, β = 90.00°, γ = 90.00°
Sites, in units of the cell vectors:
P: 0.000 0.000 0.500
Ge: 0.000 0.000 0.000
S: 0.000 0.500 0.000
S: 0.500 0.000 0.000
Cl: 0.500 0.500 0.500

A plane-wave DFT calculation with PBE was carried out for GeP2SCl after structural relaxation.

Output
V: 108.53 Å³ per cell
excess energy over the best structure of this formula in the dataset: 0.093 eV/atom

a = 4.845 Å, b = 4.845 Å, c = 4.624 Å
α = 90.00°, β = 90.00°, γ = 90.00°
Each line ends with the local moment (μB).
Sites, in units of the cell vectors:
P: 0.000 0.500 0.000  0.16
P: 0.500 0.000 0.000  0.16
Ge: 0.000 0.000 0.000  0.00
S: 0.000 0.000 0.500  0.00
Cl: 0.500 0.500 0.500  0.01

A plane-wave DFT calculation with PBE was carried out for GeP2SCl after structural relaxation.

Output
V: 102.12 Å³ per cell
excess energy over the best structure of this formula in the dataset: 0.000 eV/atom

a = 4.614 Å, b = 4.614 Å, c = 4.797 Å
α = 90.00°, β = 90.00°, γ = 90.00°
Sites, in units of the cell vectors:
P: 0.000 0.500 0.000
P: 0.500 0.000 0.000
Ge: 0.500 0.500 0.500
S: 0.000 0.000 0.000
Cl: 0.000 0.000 0.500

A plane-wave DFT calculation with PBE was carried out for GePS2Cl after structural relaxation.

Output
V: 102.42 Å³ per cell
excess energy over the best structure of this formula in the dataset: 0.885 eV/atom

a = 4.672 Å, b = 4.672 Å, c = 4.692 Å
α = 90.00°, β = 90.00°, γ = 90.00°
Sites, in units of the cell vectors:
P: 0.000 0.000 0.500
Ge: 0.500 0.500 0.500
S: 0.000 0.500 0.000
S: 0.500 0.000 0.000
Cl: 0.000 0.000 0.000

A plane-wave DFT calculation with PBE was carried out for GeP2SCl after structural relaxation.

Output
V: 103.66 Å³ per cell
excess energy over the best structure of this formula in the dataset: 0.421 eV/atom

a = 4.599 Å, b = 4.599 Å, c = 4.901 Å
α = 90.00°, β = 90.00°, γ = 90.00°
Sites, in units of the cell vectors:
P: 0.000 0.500 0.000
P: 0.500 0.000 0.000
Ge: 0.500 0.500 0.500
S: 0.000 0.000 0.500
Cl: 0.000 0.000 0.000

A plane-wave DFT calculation with PBE was carried out for GePS2Cl after structural relaxation.

Output
V: 99.53 Å³ per cell
excess energy over the best structure of this formula in the dataset: 0.000 eV/atom

a = 4.647 Å, b = 4.647 Å, c = 4.609 Å
α = 90.00°, β = 90.00°, γ = 90.00°
Sites, in units of the cell vectors:
P: 0.000 0.000 0.000
Ge: 0.500 0.500 0.500
S: 0.000 0.500 0.000
S: 0.500 0.000 0.000
Cl: 0.000 0.000 0.500

A plane-wave DFT calculation with PBE was carried out for GePS2Cl after structural relaxation.

Output
V: 106.59 Å³ per cell
excess energy over the best structure of this formula in the dataset: 0.414 eV/atom

a = 4.785 Å, b = 4.785 Å, c = 4.655 Å
α = 90.00°, β = 90.00°, γ = 90.00°
Each line ends with the local moment (μB).
Sites, in units of the cell vectors:
P: 0.500 0.500 0.500  0.40
Ge: 0.000 0.000 0.000  -0.01
S: 0.000 0.500 0.000  -0.07
S: 0.500 0.000 0.000  -0.07
Cl: 0.000 0.000 0.500  0.02

A plane-wave DFT calculation with PBE was carried out for GeSbP2Cl after structural relaxation.

Output
V: 109.82 Å³ per cell
excess energy over the best structure of this formula in the dataset: 0.000 eV/atom

a = 4.837 Å, b = 4.837 Å, c = 4.694 Å
α = 90.00°, β = 90.00°, γ = 90.00°
Sites, in units of the cell vectors:
Sb: 0.500 0.500 0.500
Ge: 0.000 0.000 0.000
P: 0.000 0.500 0.000
P: 0.500 0.000 0.000
Cl: 0.000 0.000 0.500

A plane-wave DFT calculation with PBE was carried out for GeP2SeCl after structural relaxation.

Output
V: 108.71 Å³ per cell
excess energy over the best structure of this formula in the dataset: 0.000 eV/atom

a = 4.848 Å, b = 4.848 Å, c = 4.626 Å
α = 90.00°, β = 90.00°, γ = 90.00°
Each line ends with the local moment (μB).
Sites, in units of the cell vectors:
P: 0.000 0.500 0.000  0.08
P: 0.500 0.000 0.000  0.08
Ge: 0.000 0.000 0.000  0.00
Se: 0.500 0.500 0.500  -0.04
Cl: 0.000 0.000 0.500  0.01

A plane-wave DFT calculation with PBE was carried out for GePSeCl2 after structural relaxation.

Output
V: 117.75 Å³ per cell
excess energy over the best structure of this formula in the dataset: 0.000 eV/atom

a = 4.717 Å, b = 4.717 Å, c = 5.293 Å
α = 90.00°, β = 90.00°, γ = 90.00°
Each line ends with the local moment (μB).
Sites, in units of the cell vectors:
P: 0.000 0.000 0.500  -0.15
Ge: 0.000 0.000 0.000  0.00
Se: 0.500 0.500 0.500  0.47
Cl: 0.000 0.500 0.000  0.03
Cl: 0.500 0.000 0.000  0.03

A plane-wave DFT calculation with PBE was carried out for Si2GePCl after structural relaxation.

Output
V: 114.40 Å³ per cell

a = 4.633 Å, b = 5.329 Å, c = 4.633 Å
α = 90.00°, β = 90.00°, γ = 90.00°
Sites, in units of the cell vectors:
P: 0.000 0.000 0.000
Ge: 0.000 0.500 0.000
Si: 0.000 0.000 0.500
Si: 0.500 0.000 0.000
Cl: 0.500 0.500 0.500

A plane-wave DFT calculation with PBE was carried out for SiGeP2Cl after structural relaxation.

Output
V: 98.10 Å³ per cell
excess energy over the best structure of this formula in the dataset: 0.000 eV/atom

a = 4.617 Å, b = 4.617 Å, c = 4.602 Å
α = 90.00°, β = 90.00°, γ = 90.00°
Sites, in units of the cell vectors:
P: 0.000 0.500 0.000
P: 0.500 0.000 0.000
Ge: 0.500 0.500 0.500
Si: 0.000 0.000 0.000
Cl: 0.000 0.000 0.500

no.,E_form (uncorrected) (kJ/mol of atoms)
1,-133
2,-144
3,-128
4,26
5,-51
6,58
7,138
8,107
9,54
10,54
11,71
12,46
13,24
14,117
15,45
16,89
17,74
18,88
19,79
20,110
21,120
22,25
23,65
24,50
25,72
26,34
27,72
28,50